{"formula": "Ce2Te2F", "functional": "GGA-PBE", "state": "relaxed", "lattice": [[-1.794, 0.588, 3.582], [2.399, -5.540, -0.178], [10.201, 4.277, 4.408]], "species": ["Ce", "Te", "F", "F", "Ce", "Ce", "Te", "Ce", "Te", "Te"], "frac_coords": [[0.948, 0.896, 0.391], [0.334, 0.669, 0.838], [0.636, 0.272, 0.999], [0.364, 0.728, 0.499], [0.220, 0.440, 0.126], [0.780, 0.560, 0.626], [0.666, 0.331, 0.338], [0.052, 0.104, 0.891], [0.067, 0.134, 0.631], [0.933, 0.866, 0.131]], "raw_formation_energy_mev_per_atom": -1899, "relative_energy_mev_per_atom": 0.0, "density_g_cm3": 6.71, "n_ef_per_ev_fu": 11.52, "energy_ev_per_cell": -59.040}


{"formula": "CeTeF", "functional": "GGA-PBE", "state": "relaxed", "lattice": [[4.489, 0.000, 0.000], [0.000, 4.489, 0.000], [-2.244, -2.244, 4.322]], "species": ["Te", "F", "Ce"], "frac_coords": [[0.967, 0.967, 0.933], [0.321, 0.321, 0.642], [0.562, 0.562, 0.124]], "raw_formation_energy_mev_per_atom": -2152, "density_g_cm3": 5.47, "n_ef_per_ev_fu": 6.97, "energy_ev_per_cell": -17.404}


{"formula": "Ce2TeF4", "functional": "GGA-PBE", "state": "relaxed", "lattice": [[-3.638, -2.051, -0.466], [-0.028, -3.901, -1.561], [-0.484, -5.004, 6.856]], "species": ["F", "F", "F", "Te", "Ce", "F", "Ce"], "frac_coords": [[0.434, 0.434, 0.698], [0.140, 0.140, 0.580], [0.566, 0.566, 0.302], [0.000, 0.000, 0.000], [0.761, 0.761, 0.716], [0.860, 0.860, 0.420], [0.239, 0.239, 0.284]], "raw_formation_energy_mev_per_atom": -3365, "density_g_cm3": 6.45, "n_ef_per_ev_fu": 15.71, "energy_ev_per_cell": -46.046}


{"formula": "CeTeF", "functional": "GGA-PBE", "state": "relaxed", "lattice": [[-3.936, -2.598, -0.012], [2.777, -3.786, -0.443], [-0.237, -3.745, 6.607]], "species": ["Te", "Ce", "Ce", "F", "F", "Te"], "frac_coords": [[0.904, 0.344, 0.108], [0.253, 0.193, 0.411], [0.556, 0.496, 0.806], [0.654, 0.094, 0.609], [0.154, 0.595, 0.609], [0.404, 0.845, 0.108]], "raw_formation_energy_mev_per_atom": -2064, "density_g_cm3": 6.24, "n_ef_per_ev_fu": 7.05, "energy_ev_per_cell": -34.280}


{"formula": "Ce6Te5F", "functional": "GGA-PBE", "state": "relaxed", "lattice": [[-3.210, -3.521, 5.934], [3.066, -6.872, 0.972], [6.078, -0.843, 4.484]], "species": ["Ce", "F", "Te", "Te", "Ce", "Te", "Te", "Ce", "Ce", "Ce", "Te", "Ce"], "frac_coords": [[0.775, 0.377, 0.694], [0.000, 0.000, 0.000], [0.500, 0.185, 0.630], [0.000, 0.661, 0.677], [0.225, 0.623, 0.306], [0.000, 0.339, 0.323], [0.500, 0.500, 0.000], [0.262, 0.230, 0.000], [0.738, 0.770, 0.000], [0.225, 0.929, 0.694], [0.500, 0.815, 0.370], [0.775, 0.071, 0.306]], "raw_formation_energy_mev_per_atom": -1426, "density_g_cm3": 6.98, "n_ef_per_ev_fu": 41.43, "energy_ev_per_cell": -70.295}


{"formula": "CeTh2F11", "functional": "GGA-PBE", "state": "relaxed", "lattice": [[-7.398, -4.460, 0.103], [-3.871, -1.764, 7.921], [-7.770, 4.524, 0.031]], "species": ["F", "Th", "F", "F", "F", "Ce", "F", "F", "Th", "F", "F", "F", "F", "F", "Th", "F", "F", "F", "F", "F", "Ce", "F", "F", "F", "F", "F", "F", "Th"], "frac_coords": [[0.737, 0.684, 0.035], [0.645, 0.682, 0.318], [0.545, 0.035, 0.684], [0.375, 0.715, 0.285], [0.917, 0.438, 0.290], [0.250, 0.250, 0.250], [0.645, 0.710, 0.562], [0.583, 0.210, 0.062], [0.145, 0.818, 0.182], [0.263, 0.316, 0.965], [0.855, 0.938, 0.790], [0.875, 0.785, 0.215], [0.455, 0.965, 0.316], [0.763, 0.465, 0.816], [0.855, 0.182, 0.818], [0.500, 0.500, 0.500], [0.355, 0.290, 0.438], [0.125, 0.215, 0.785], [0.237, 0.535, 0.184], [0.955, 0.816, 0.465], [0.750, 0.750, 0.750], [0.145, 0.062, 0.210], [0.083, 0.562, 0.710], [0.000, 0.000, 0.000], [0.417, 0.790, 0.938], [0.045, 0.184, 0.535], [0.625, 0.285, 0.715], [0.355, 0.318, 0.682]], "raw_formation_energy_mev_per_atom": -4080, "density_g_cm3": 5.04, "n_ef_per_ev_fu": 8.12, "energy_ev_per_cell": -196.964}


{"formula": "Ce3ThF", "functional": "GGA-PBE", "state": "relaxed", "lattice": [[4.997, 0.000, 0.000], [0.000, 4.997, 0.000], [0.000, 0.000, 4.997]], "species": ["Ce", "Ce", "Ce", "F", "Th"], "frac_coords": [[0.500, 0.000, 0.000], [0.000, 0.000, 0.500], [0.000, 0.500, 0.000], [0.000, 0.000, 0.000], [0.500, 0.500, 0.500]], "raw_formation_energy_mev_per_atom": -910, "density_g_cm3": 8.93, "n_ef_per_ev_fu": 11.35, "energy_ev_per_cell": -31.645}


{"formula": "CeTi2F8", "functional": "GGA-PBE", "state": "relaxed", "lattice": [[5.404, -0.204, -0.155], [-0.223, 5.930, 1.141], [-0.223, 2.696, 5.404]], "species": ["Ti", "Ti", "F", "F", "F", "F", "F", "F", "F", "Ce", "F"], "frac_coords": [[0.479, 0.269, 0.269], [0.521, 0.731, 0.731], [0.692, 0.127, 0.127], [0.251, 0.391, 0.391], [0.308, 0.873, 0.873], [0.739, 0.095, 0.605], [0.261, 0.905, 0.395], [0.739, 0.605, 0.095], [0.261, 0.395, 0.905], [0.000, 0.000, 0.000], [0.749, 0.609, 0.609]], "raw_formation_energy_mev_per_atom": -3327, "relative_energy_mev_per_atom": 0.0, "density_g_cm3": 4.12, "n_ef_per_ev_fu": 5.72, "energy_ev_per_cell": -73.289}


{"formula": "CeTiF5", "functional": "GGA-PBE", "state": "relaxed", "lattice": [[-3.106, -1.907, 4.566], [-5.281, -1.622, -1.900], [-0.469, -8.085, -0.199]], "species": ["F", "F", "Ce", "F", "F", "F", "F", "Ti", "F", "Ce", "F", "Ti", "F", "F"], "frac_coords": [[0.680, 0.296, 0.970], [0.910, 0.090, 0.250], [0.448, 0.552, 0.750], [0.320, 0.704, 0.030], [0.704, 0.320, 0.530], [0.296, 0.680, 0.470], [0.209, 0.260, 0.880], [0.000, 0.000, 0.500], [0.740, 0.791, 0.620], [0.552, 0.448, 0.250], [0.260, 0.209, 0.380], [0.000, 0.000, 0.000], [0.090, 0.910, 0.750], [0.791, 0.740, 0.120]], "raw_formation_energy_mev_per_atom": -3439, "density_g_cm3": 3.94, "n_ef_per_ev_fu": 8.16, "energy_ev_per_cell": -94.514}


{"formula": "CeTi2F8", "functional": "GGA-PBE", "state": "relaxed", "lattice": [[4.089, 0.000, 0.000], [-0.001, 6.096, -3.519], [0.001, -0.002, 7.038]], "species": ["Ce", "F", "Ti", "F", "F", "F", "F", "Ti", "F", "F", "F"], "frac_coords": [[0.000, 0.000, 0.000], [0.258, 0.654, 0.826], [0.729, 0.667, 0.333], [0.742, 0.826, 0.173], [0.258, 0.174, 0.827], [0.258, 0.173, 0.346], [0.233, 0.667, 0.333], [0.271, 0.333, 0.667], [0.767, 0.333, 0.667], [0.742, 0.827, 0.654], [0.742, 0.346, 0.174]], "raw_formation_energy_mev_per_atom": -3294, "relative_energy_mev_per_atom": 32.8, "density_g_cm3": 3.67, "n_ef_per_ev_fu": 9.41, "energy_ev_per_cell": -72.928}


{"formula": "CeTl2F5", "functional": "GGA-PBE", "state": "relaxed", "lattice": [[-2.434, 6.391, 1.716], [-7.340, -2.645, -0.563], [0.197, -2.929, 11.189]], "species": ["F", "Ce", "F", "Tl", "F", "F", "Tl", "F", "Ce", "Tl", "Tl", "F", "F", "F", "F", "F", "Tl", "F", "F", "Tl", "F", "F", "F", "F", "Ce", "Ce", "Tl", "F", "F", "F", "F", "Tl"], "frac_coords": [[0.147, 0.967, 0.072], [0.444, 0.250, 0.502], [0.353, 0.533, 0.572], [0.481, 0.997, 0.830], [0.112, 0.250, 0.518], [0.650, 0.750, 0.691], [0.019, 0.503, 0.330], [0.647, 0.467, 0.428], [0.556, 0.750, 0.498], [0.981, 0.003, 0.670], [0.481, 0.503, 0.830], [0.150, 0.250, 0.809], [0.353, 0.967, 0.572], [0.850, 0.750, 0.191], [0.388, 0.250, 0.018], [0.853, 0.033, 0.928], [0.981, 0.497, 0.670], [0.888, 0.750, 0.482], [0.621, 0.250, 0.668], [0.019, 0.997, 0.330], [0.121, 0.750, 0.832], [0.647, 0.033, 0.428], [0.879, 0.250, 0.168], [0.612, 0.750, 0.982], [0.944, 0.750, 0.998], [0.056, 0.250, 0.002], [0.519, 0.003, 0.170], [0.350, 0.250, 0.309], [0.147, 0.533, 0.072], [0.379, 0.750, 0.332], [0.853, 0.467, 0.928], [0.519, 0.497, 0.170]], "raw_formation_energy_mev_per_atom": -2881, "density_g_cm3": 6.70, "n_ef_per_ev_fu": 3.68, "energy_ev_per_cell": -172.275}